No. 1
Compound: MoP2PdC
Source: Alexandria
Functional: PBE
Structure: optimized geometry

Geometry as POSCAR:
```
MoP2PdC
1.0
-1.160 0.509 -3.884
2.829 -2.578 -1.183
-2.650 -3.085 0.387
P Mo Pd C
2 1 1 1
Cartesian
-0.580 0.254 -1.942
-1.325 -1.542 0.194
-0.490 -2.577 -2.340
1.414 -1.289 -0.591
0.000 0.000 0.000
```

Computed properties:
Density of states at the Fermi level   0.834 states/eV/atom
Energy of formation from the pure elements   0.97 eV per atom
V   13.37 A^3/atom

---

No. 2
Compound: K2CaAg
Source: Alexandria
Functional: PBE
Structure: optimized geometry

Geometry as POSCAR:
```
K2CaAg
1.0
-7.123 -1.492 -0.187
-3.207 -4.016 5.156
4.501 5.689 -0.612
K Ag Ca
2 1 1
Cartesian
-5.165 -2.754 2.485
0.000 0.000 0.000
-1.935 -0.540 3.515
-3.893 0.722 0.843
```

Computed properties:
Density of states at the Fermi level   0.600 states/eV/atom
Energy of formation from the pure elements   0.17 eV per atom
V   39.94 A^3/atom

---

No. 3
Compound: CoAgP2
Source: Alexandria
Functional: PBE
Structure: optimized geometry

Geometry as POSCAR:
```
CoAgP2
1.0
4.888 0.000 0.000
2.097 4.416 0.000
-3.492 -2.208 2.612
P Ag Co
2 1 1
Cartesian
0.000 0.000 0.000
1.048 2.208 1.306
3.492 2.208 0.000
2.444 0.000 1.306
```

Computed properties:
Density of states at the Fermi level   0.673 states/eV/atom
Energy of formation from the pure elements   0.46 eV per atom
V   14.10 A^3/atom

---

No. 4
Compound: CaSm2Al2Zn2
Source: Alexandria
Functional: PBE
Structure: optimized geometry

Geometry as POSCAR:
```
CaSm2Al2Zn2
1.0
-3.658 -0.359 -2.717
-2.678 -3.696 0.248
-7.417 2.933 5.754
Al Sm Zn Ca
2 2 2 1
Cartesian
-10.462 -0.723 2.647
-3.291 -0.400 0.639
-5.383 1.291 3.233
-8.369 -2.413 0.053
-8.396 0.666 3.527
-5.357 -1.788 -0.241
0.000 0.000 0.000
```

Computed properties:
Density of states at the Fermi level   0.409 states/eV/atom
Energy of formation from the pure elements   -0.28 eV per atom
V   24.49 A^3/atom

---

No. 5
Compound: CaGa3P
Source: Alexandria
Functional: PBE
Structure: optimized geometry

Geometry as POSCAR:
```
CaGa3P
1.0
4.887 0.000 0.000
0.000 4.887 0.000
0.000 0.000 4.887
Ga P Ca
3 1 1
Cartesian
0.000 2.444 0.000
0.000 0.000 2.444
2.444 0.000 0.000
0.000 0.000 0.000
2.444 2.444 2.444
```

Computed properties:
Density of states at the Fermi level   0.532 states/eV/atom
Energy of formation from the pure elements   0.05 eV per atom
V   23.35 A^3/atom

---

No. 6
Compound: ScSiTe
Source: Alexandria
Functional: PBE
Structure: optimized geometry

Geometry as POSCAR:
```
ScSiTe
1.0
-0.446 -2.152 3.256
-1.183 -3.737 -0.262
10.314 -5.346 0.249
Si Sc Te
2 2 2
Cartesian
3.443 -7.470 2.644
5.243 -3.766 0.599
2.299 -4.981 1.763
6.387 -6.255 1.480
1.211 -2.510 0.877
7.475 -8.726 2.366
```

Computed properties:
Density of states at the Fermi level   0.176 states/eV/atom
Formation energy (no corrections)   -672 meV/atom
V   25.39 A^3/atom

---

Among the records above, which one has the lowest density of states at the Fermi level?
ScSiTe

---

The highest V belongs to which entry?
K2CaAg

---

Which value of density of states at the Fermi level does entry 1 give?
0.834 states/eV/atom